Compound: Ca2Y
Source: the Alexandria database
Functional: PBE
Structure: relaxed

Output
Mass density in g/cm³: 2.01
Calculated formation energy in eV/f.u.: 1.3
Total magnetic moment in Bohr magnetons per cell: 0.00

abc: 6.099 6.099 3.756
angles: 90.00 90.00 90.00
Space group P4/mmm (No. 123)
One atom of each set of equivalent atoms:
Ca 0.000 0.500 0.000 (multiplicity 2)
Y 0.000 0.000 0.500 (multiplicity 1)


Compound: Ca7Y
Source: the Alexandria database
Functional: PBE
Structure: relaxed

Output
Mass density in g/cm³: 1.90
Calculated formation energy in eV/f.u.: 0.5
Total magnetic moment in Bohr magnetons per cell: 3.02

abc: 10.894 10.894 10.894
angles: 90.00 90.00 90.00
Space group Fm-3m (No. 225)
One atom of each set of equivalent atoms:
Ca 0.000 0.000 0.000 (multiplicity 4)
Ca 0.000 0.250 0.250 (multiplicity 24)
Y 0.000 0.000 0.500 (multiplicity 4)


Compound: Ca2Y
Source: the Alexandria database
Functional: PBE
Structure: relaxed

Output
Mass density in g/cm³: 2.39
Calculated formation energy in eV/f.u.: 0.9
Total magnetic moment in Bohr magnetons per cell: 10.31

abc: 9.791 9.791 9.791
angles: 90.00 90.00 90.00
Space group Fd-3m (No. 227, origin choice 2)
One atom of each set of equivalent atoms:
Ca 0.000 0.000 0.000 (multiplicity 16)
Y 0.125 0.125 0.625 (multiplicity 8)


Compound: CaY5
Source: the Alexandria database
Functional: PBE
Structure: relaxed

Output
Mass density in g/cm³: 3.98
Calculated formation energy in eV/f.u.: 0.3
Total magnetic moment in Bohr magnetons per cell: 0.00

abc: 3.611 3.611 15.512
angles: 90.00 90.00 90.00
Space group P4/mmm (No. 123)
One atom of each set of equivalent atoms:
Ca 0.000 0.000 0.000 (multiplicity 1)
Y 0.000 0.000 0.337 (multiplicity 2)
Y 0.500 0.500 0.181 (multiplicity 2)
Y 0.500 0.500 0.500 (multiplicity 1)


Compound: CaY5
Source: the Alexandria database
Functional: PBE
Structure: relaxed

Output
Mass density in g/cm³: 3.98
Calculated formation energy in eV/f.u.: 0.4
Total magnetic moment in Bohr magnetons per cell: 1.62

abc: 6.3586 6.3586 5.7728
angles: 90.00 90.00 120.00
Space group P-62m (No. 189)
One atom of each set of equivalent atoms:
Ca 0.0000 0.0000 0.0000 (multiplicity 1)
Y 0.0000 0.6603 0.5000 (multiplicity 3)
Y 0.3333 0.6667 0.0000 (multiplicity 2)


Compound: Ca2Y
Source: the Alexandria database
Functional: PBE
Structure: relaxed

Output
Mass density in g/cm³: 2.19
Calculated formation energy in eV/f.u.: 2.5
Total magnetic moment in Bohr magnetons per cell: 0.00

abc: 8.003 8.003 8.003
angles: 90.00 90.00 90.00
Space group Pa-3 (No. 205)
One atom of each set of equivalent atoms:
Ca 0.138 0.138 0.138 (multiplicity 8)
Y 0.000 0.000 0.500 (multiplicity 4)


Compound: Ca2Y
Source: the Alexandria database
Functional: PBE
Structure: relaxed

Output
Mass density in g/cm³: 2.46
Calculated formation energy in eV/f.u.: 0.3
Total magnetic moment in Bohr magnetons per cell: 0.84

abc: 3.7440 3.7440 9.3950
angles: 90.00 90.00 120.00
Space group P-3m1 (No. 164)
One atom of each set of equivalent atoms:
Ca 0.3333 0.6667 0.3253 (multiplicity 2)
Y 0.0000 0.0000 0.0000 (multiplicity 1)


Compound: Ca7Y6
Source: the Alexandria database
Functional: PBE
Structure: relaxed

Output
Mass density in g/cm³: 2.77
Calculated formation energy in eV/f.u.: 4.0
Total magnetic moment in Bohr magnetons per cell: 15.89

abc: 6.7815 6.7815 36.7669
angles: 90.00 90.00 120.00
Space group R-3m (No. 166, hexagonal axes)
One atom of each set of equivalent atoms:
Ca 0.0000 0.0000 0.0000 (multiplicity 3)
Ca 0.0058 0.5029 0.4125 (multiplicity 18)
Y 0.0000 0.0000 0.1663 (multiplicity 6)
Y 0.0000 0.0000 0.3516 (multiplicity 6)
Y 0.0000 0.0000 0.4565 (multiplicity 6)


Q: Which value of calculated formation energy does entry 8 give?
A: 4.0 eV/f.u.


Q: What is the total magnetic moment in the first record?
A: 0.00 Bohr magnetons per cell


Q: Look up the total magnetic moment of the first one.
A: 0.00 Bohr magnetons per cell